1.
Density functional theory data (PBE) for a relaxed structure of Ho8Ni2Ir.

Summary:
E = -0.2034 hartree per atom
Total magnetic moment = 0.0 Bohr magnetons per cell
ΔE_f = -3.839 eV per formula unit
Symmetry = C2/m
Crystal system = monoclinic

a b c (Å): 4.9826 6.5859 8.8648
angles (deg): 104.75 106.32 90.00
Positions (direct):
Ni (0.1891, 0.7220, 0.3782)
Ho (0.9631, 0.2078, 0.9261)
Ho (0.7977, 0.6718, 0.5954)
Ho (0.2023, 0.3282, 0.4046)
Ho (0.3299, 0.0219, 0.6599)
Ho (0.4094, 0.5556, 0.8187)
Ho (0.6701, 0.9781, 0.3401)
Ni (0.8109, 0.2780, 0.6218)
Ho (0.0369, 0.7922, 0.0739)
Ir (0.5000, 0.0000, 0.0000)
Ho (0.5906, 0.4444, 0.1813)

=====

2.
Density functional theory data (PBE) for a relaxed structure of Cs2Na16Cd.

Summary:
E = -0.0454 hartree per atom
Total magnetic moment = 0.0 Bohr magnetons per cell
ΔE_f = 0.263 eV per formula unit
Symmetry = R3m
Crystal system = trigonal

a b c (Å): 9.3727 9.3727 9.3727
angles (deg): 82.75 82.75 82.75
Positions (direct):
Na (0.6605, 0.1347, 0.6605)
Na (0.2817, 0.7182, 0.9987)
Na (0.9987, 0.2817, 0.7182)
Na (0.7182, 0.9987, 0.2817)
Na (0.9987, 0.7182, 0.2817)
Cs (0.3458, 0.3458, 0.3458)
Na (0.7182, 0.2817, 0.9987)
Na (0.6605, 0.6605, 0.1347)
Na (0.9940, 0.9940, 0.5138)
Na (0.1347, 0.6605, 0.6605)
Na (0.8602, 0.3446, 0.3446)
Na (0.5138, 0.9940, 0.9940)
Cd (0.9041, 0.9041, 0.9041)
Na (0.3446, 0.8602, 0.3446)
Na (0.0863, 0.0863, 0.0863)
Cs (0.6597, 0.6597, 0.6597)
Na (0.3446, 0.3446, 0.8602)
Na (0.2817, 0.9987, 0.7182)
Na (0.9940, 0.5138, 0.9940)